1.
Li4SiGe3O10 after structural relaxation. Source: the Alexandria database, functional PBE.

Cell: 5.008 6.109 8.006 Å, 89.60 72.03 89.90°
Space group P1 (No. 1)
Inequivalent atoms, fractional coordinates:
Li (0.000, 0.000, 0.000) x1
Li (0.110, 0.705, 0.771) x1
Li (0.497, 0.701, 0.006) x1
Li (0.611, 0.001, 0.776) x1
Si (0.186, 0.196, 0.606) x1
Ge (0.404, 0.190, 0.185) x1
Ge (0.686, 0.503, 0.604) x1
Ge (0.907, 0.508, 0.178) x1
O (0.017, 0.019, 0.747) x1
O (0.022, 0.440, 0.632) x1
O (0.231, 0.110, 0.405) x1
O (0.271, 0.459, 0.154) x1
O (0.373, 0.007, 0.032) x1
O (0.499, 0.246, 0.634) x1
O (0.511, 0.692, 0.756) x1
O (0.729, 0.606, 0.391) x1
O (0.771, 0.239, 0.155) x1
O (0.878, 0.691, 0.022) x1

E = -113.45 eV for the cell shown
spin magnetization = 0.00 μB per atom



2.
Si3BiP after structural relaxation. Source: the Alexandria database, functional PBE.

Cell: 5.357 5.357 5.357 Å, 90.00 90.00 90.00°
Space group Pm-3m (No. 221)
Inequivalent atoms, fractional coordinates:
Si (0.000, 0.000, 0.500) x3
Bi (0.000, 0.000, 0.000) x1
P (0.500, 0.500, 0.500) x1

E = -16.31 eV for the cell shown
spin magnetization = 0.00 μB per atom



3.
YHoGe after structural relaxation. Source: the Alexandria database, functional PBE.

Cell: 6.895 6.895 6.895 Å, 90.00 90.00 90.00°
Space group F-43m (No. 216)
Inequivalent atoms, fractional coordinates:
Y (0.000, 0.000, 0.000) x4
Ho (0.000, 0.000, 0.500) x4
Ge (0.250, 0.250, 0.750) x4

spin magnetization = 0.00 μB per atom
DFT formation energy = -1.65 eV per formula unit



| no. | DOS at the Fermi energy (states/eV/atom) |
| --- | --- |
| 1 | 0.000 |
| 2 | 0.597 |
| 3 | 0.929 |